# 1
Compound: PuSi2Au2
Source: Alexandria via LeMat-Bulk
Functional: meta-GGA SCAN
Structure: single point on PBEsol structure

Unit cell a=5.918 b=5.918 c=5.918 alpha=138.61 beta=138.61 gamma=59.97
Fractional coordinates of all 5 atoms:
Pu1 0.000 0.000 0.000
Si1 0.389 0.389 0.000
Si2 0.611 0.611 0.000
Au1 0.250 0.750 0.500
Au2 0.750 0.250 0.500

## Properties
* total magnetic moment: 5.39 μB per formula unit
* symmetry: I4/mmm, No. 139
* formation energy (no corrections): -0.393 eV per atom
* density of states at the Fermi level: 2.437 states/eV per atom

---

# 2
Compound: KTcHg2
Source: Alexandria via LeMat-Bulk
Functional: meta-GGA SCAN
Structure: single point on PBEsol structure

Unit cell a=10.577 b=10.577 c=10.577 alpha=16.40 beta=16.40 gamma=16.40
Fractional coordinates of all 4 atoms:
K1 0.000 0.000 0.000
Tc1 0.500 0.500 0.500
Hg1 0.240 0.240 0.240
Hg2 0.760 0.760 0.760

## Properties
* relative energy among the computed polymorphs: 0.00 kcal/mol of atoms
* total magnetic moment: 0.00 μB per formula unit
* symmetry: R-3m, No. 166
* E_form: 610 meV per atom
* density of states at the Fermi level: 0.590 states/eV per atom

---

# 3
Compound: YFeAg
Source: Alexandria via LeMat-Bulk
Functional: meta-GGA SCAN
Structure: single point on PBEsol structure

Unit cell a=5.498 b=5.498 c=5.498 alpha=144.37 beta=144.37 gamma=51.28
Fractional coordinates of all 3 atoms:
Y1 0.000 0.000 0.000
Fe1 0.326 0.326 0.000
Ag1 0.696 0.696 0.000

## Properties
* total magnetic moment: 2.57 μB per formula unit
* symmetry: I4mm, No. 107
* E_form: 118 meV per atom
* density of states at the Fermi level: 0.811 states/eV per atom

---

# 4
Compound: InFe2
Source: Alexandria via LeMat-Bulk
Functional: meta-GGA SCAN
Structure: single point on PBEsol structure

Unit cell a=2.896 b=2.896 c=6.097 alpha=90.00 beta=90.00 gamma=120.00
Fractional coordinates of all 3 atoms:
In1 0.000 0.000 0.000
Fe1 0.333 0.667 0.635
Fe2 0.667 0.333 0.365

## Properties
* total magnetic moment: 5.30 μB per formula unit
* symmetry: P-3m1, No. 164
* E_form: 290 meV per atom
* density of states at the Fermi level: 0.469 states/eV per atom

---

# 5
Compound: MnCo2Mo
Source: Alexandria via LeMat-Bulk
Functional: meta-GGA SCAN
Structure: single point on PBEsol structure

Unit cell a=3.549 b=3.549 c=3.587 alpha=90.00 beta=90.00 gamma=90.00
Fractional coordinates of all 4 atoms:
Mn1 0.000 0.000 0.000
Co1 0.000 0.500 0.500
Co2 0.500 0.000 0.500
Mo1 0.500 0.500 0.000

## Properties
* relative energy among the computed polymorphs: 0.00 kcal/mol of atoms
* total magnetic moment: 0.97 μB per formula unit
* symmetry: P4/mmm, No. 123
* E_form: 69 meV per atom
* density of states at the Fermi level: 0.490 states/eV per atom

---

# 6
Compound: NdP2H9O10
Source: Alexandria via LeMat-Bulk
Functional: meta-GGA SCAN
Structure: single point on PBEsol structure

Unit cell a=10.080 b=11.609 c=7.197 alpha=90.00 beta=90.00 gamma=90.00
Fractional coordinates of all 88 atoms:
Nd1 0.244 0.250 0.250
Nd2 0.256 0.750 0.250
Nd3 0.744 0.250 0.750
Nd4 0.756 0.750 0.750
P1 0.031 0.070 0.591
P2 0.031 0.430 0.909
P3 0.469 0.570 0.909
P4 0.469 0.930 0.591
P5 0.531 0.070 0.409
P6 0.531 0.430 0.091
P7 0.969 0.570 0.091
P8 0.969 0.930 0.409
H1 0.050 0.745 0.552
H2 0.050 0.755 0.948
H3 0.123 0.013 0.162
H4 0.123 0.487 0.338
H5 0.130 0.070 0.960
H6 0.130 0.430 0.540
H7 0.140 0.643 0.626
H8 0.140 0.857 0.874
H9 0.250 0.000 0.705
H10 0.250 0.500 0.795
H11 0.360 0.143 0.874
H12 0.360 0.357 0.626
H13 0.370 0.570 0.540
H14 0.370 0.930 0.960
H15 0.377 0.513 0.338
H16 0.377 0.987 0.162
H17 0.450 0.245 0.948
H18 0.450 0.255 0.552
H19 0.550 0.745 0.448
H20 0.550 0.755 0.052
H21 0.623 0.013 0.838
H22 0.623 0.487 0.662
H23 0.630 0.070 0.040
H24 0.630 0.430 0.460
H25 0.640 0.643 0.374
H26 0.640 0.857 0.126
H27 0.750 0.000 0.295
H28 0.750 0.500 0.205
H29 0.860 0.143 0.126
H30 0.860 0.357 0.374
H31 0.870 0.570 0.460
H32 0.870 0.930 0.040
H33 0.877 0.513 0.662
H34 0.877 0.987 0.838
H35 0.950 0.245 0.052
H36 0.950 0.255 0.448
O1 0.088 0.167 0.471
O2 0.088 0.333 0.029
O3 0.094 0.603 0.199
O4 0.094 0.897 0.301
O5 0.134 0.018 0.730
O6 0.134 0.088 0.095
O7 0.134 0.412 0.405
O8 0.134 0.482 0.770
O9 0.142 0.713 0.550
O10 0.142 0.787 0.950
O11 0.358 0.213 0.950
O12 0.358 0.287 0.550
O13 0.366 0.518 0.770
O14 0.366 0.588 0.405
O15 0.366 0.912 0.095
O16 0.366 0.982 0.730
O17 0.406 0.103 0.301
O18 0.406 0.397 0.199
O19 0.412 0.667 0.029
O20 0.412 0.833 0.471
O21 0.588 0.167 0.529
O22 0.588 0.333 0.971
O23 0.594 0.603 0.801
O24 0.594 0.897 0.699
O25 0.634 0.018 0.270
O26 0.634 0.088 0.905
O27 0.634 0.412 0.595
O28 0.634 0.482 0.230
O29 0.642 0.713 0.450
O30 0.642 0.787 0.050
O31 0.858 0.213 0.050
O32 0.858 0.287 0.450
O33 0.866 0.518 0.230
O34 0.866 0.588 0.595
O35 0.866 0.912 0.905
O36 0.866 0.982 0.270
O37 0.906 0.103 0.699
O38 0.906 0.397 0.801
O39 0.912 0.667 0.971
O40 0.912 0.833 0.529

## Properties
* total magnetic moment: 0.00 μB per formula unit
* uncorrected energy: -8.9258 eV/atom
* symmetry: Pnna, No. 52
* density of states at the Fermi level: 0.000 states/eV per atom

---

# 7
Compound: CaMoN3
Source: Alexandria via LeMat-Bulk
Functional: meta-GGA SCAN
Structure: single point on PBEsol structure

Unit cell a=4.317 b=3.539 c=10.080 alpha=90.00 beta=101.02 gamma=90.00
Fractional coordinates of all 10 atoms:
Ca1 0.112 0.000 0.241
Ca2 0.888 0.000 0.759
Mo1 0.321 0.500 0.593
Mo2 0.679 0.500 0.407
N1 0.027 0.500 0.060
N2 0.181 0.500 0.400
N3 0.348 0.000 0.671
N4 0.652 0.000 0.329
N5 0.819 0.500 0.600
N6 0.973 0.500 0.940

## Properties
* total magnetic moment: 0.60 μB per formula unit
* symmetry: P2/m, No. 10
* formation energy (no corrections): -0.710 eV per atom
* density of states at the Fermi level: 0.348 states/eV per atom

---

# 8
Compound: CaP
Source: Alexandria via LeMat-Bulk
Functional: meta-GGA SCAN
Structure: single point on PBEsol structure

Unit cell a=5.890 b=5.890 c=5.890 alpha=139.96 beta=139.96 gamma=57.92
Fractional coordinates of all 4 atoms:
Ca1 0.375 0.625 0.750
Ca2 0.625 0.375 0.250
P1 0.125 0.875 0.250
P2 0.875 0.125 0.750

## Properties
* total magnetic moment: 0.00 μB per formula unit
* symmetry: I4_1/amd, No. 141
* E_form: -793 meV per atom
* density of states at the Fermi level: 0.342 states/eV per atom

---

# 9
Compound: Ba2Ca2Sb
Source: Alexandria via LeMat-Bulk
Functional: meta-GGA SCAN
Structure: single point on PBEsol structure

Unit cell a=11.186 b=11.186 c=11.186 alpha=156.35 beta=156.35 gamma=33.69
Fractional coordinates of all 5 atoms:
Ba1 0.080 0.080 0.000
Ba2 0.920 0.920 0.000
Ca1 0.250 0.750 0.500
Ca2 0.750 0.250 0.500
Sb1 0.500 0.500 0.000

## Properties
* total magnetic moment: 0.06 μB per formula unit
* symmetry: I4/mmm, No. 139
* formation energy (no corrections): -0.223 eV per atom
* density of states at the Fermi level: 0.847 states/eV per atom

---

# 10
Compound: LaAl2Cd
Source: Alexandria via LeMat-Bulk
Functional: meta-GGA SCAN
Structure: single point on PBEsol structure

Unit cell a=3.481 b=3.481 c=7.346 alpha=90.00 beta=90.00 gamma=90.00
Fractional coordinates of all 4 atoms:
La1 0.000 0.000 0.000
Al1 0.000 0.000 0.470
Al2 0.500 0.500 0.288
Cd1 0.500 0.500 0.685

## Properties
* total magnetic moment: 0.00 μB per formula unit
* symmetry: P4mm, No. 99
* E_form: -219 meV per atom
* density of states at the Fermi level: 0.498 states/eV per atom

---

# 11
Compound: LiSN2Cl
Source: Alexandria via LeMat-Bulk
Functional: meta-GGA SCAN
Structure: single point on PBEsol structure

Unit cell a=3.568 b=3.568 c=5.606 alpha=90.00 beta=90.00 gamma=90.00
Fractional coordinates of all 5 atoms:
Li1 0.000 0.000 0.000
S1 0.000 0.000 0.500
N1 0.000 0.500 0.000
N2 0.500 0.000 0.000
Cl1 0.500 0.500 0.500

## Properties
* relative energy among the computed polymorphs: 0.43 kcal/mol of atoms
* total magnetic moment: 3.60 μB per formula unit
* symmetry: P4/mmm, No. 123
* formation energy (no corrections): 1.805 eV per atom
* density of states at the Fermi level: 0.558 states/eV per atom

---

# 12
Compound: Al2AgW
Source: Alexandria via LeMat-Bulk
Functional: meta-GGA SCAN
Structure: single point on PBEsol structure

Unit cell a=2.760 b=4.174 c=5.467 alpha=90.00 beta=90.19 gamma=90.00
Fractional coordinates of all 4 atoms:
Al1 0.004 0.000 0.230
Al2 0.996 0.000 0.770
Ag1 0.000 0.500 0.500
W1 0.500 0.500 0.000

## Properties
* total magnetic moment: 0.00 μB per formula unit
* symmetry: P2/m, No. 10
* E_form: 73 meV per atom
* density of states at the Fermi level: 0.321 states/eV per atom

---

> Which formula does entry 12 have?

Al2AgW

---

Please write out number 7 again, unchanged.
Compound: CaMoN3
Source: Alexandria via LeMat-Bulk
Functional: meta-GGA SCAN
Structure: single point on PBEsol structure

Unit cell a=4.317 b=3.539 c=10.080 alpha=90.00 beta=101.02 gamma=90.00
Fractional coordinates of all 10 atoms:
Ca1 0.112 0.000 0.241
Ca2 0.888 0.000 0.759
Mo1 0.321 0.500 0.593
Mo2 0.679 0.500 0.407
N1 0.027 0.500 0.060
N2 0.181 0.500 0.400
N3 0.348 0.000 0.671
N4 0.652 0.000 0.329
N5 0.819 0.500 0.600
N6 0.973 0.500 0.940

## Properties
* total magnetic moment: 0.60 μB per formula unit
* symmetry: P2/m, No. 10
* formation energy (no corrections): -0.710 eV per atom
* density of states at the Fermi level: 0.348 states/eV per atom